A geometry-optimized RbTlPO2 structure, computed with PBE.

Cell: 4.631 4.631 5.224 Å, 90.00 90.00 90.00°
Space group P4/mmm (No. 123)
One atom of each set of equivalent atoms:
Rb 0.000 0.000 0.000 x1
Tl 0.500 0.500 0.500 x1
P 0.500 0.500 0.000 x1
O 0.000 0.500 0.500 x2

Output
The calculation puts the energy above the most stable polymorph in this dataset at 0.0 meV per atom. The total magnetization is 2.84 μB per formula unit. Its density of states at the Fermi level is 0.7905 states/eV/atom.


A geometry-optimized KCa2Cr structure, computed with PBE.

Cell: 4.086 4.154 9.584 Å, 90.00 90.00 90.00°
Space group Pmm2 (No. 25)
One atom of each set of equivalent atoms:
K 0.000 0.000 0.000 x1
Ca 0.000 0.000 0.409 x1
Ca 0.500 0.500 0.658 x1
Cr 0.500 0.500 0.269 x1

Output
The calculation puts the energy above the most stable polymorph in this dataset at 103.1 meV per atom. The value obtained for the formation energy is 532 meV/atom. The total magnetization is 4.91 μB per formula unit. Its density of states at the Fermi level is 0.9403 states/eV/atom.


A geometry-optimized Ho6Zn2Au structure, computed with PBE.

Cell: 9.593 9.768 9.894 Å, 90.00 90.00 90.00°
Space group Immm (No. 71)
One atom of each set of equivalent atoms:
Ho 0.000 0.176 0.218 x8
Ho 0.176 0.500 0.236 x8
Ho 0.195 0.248 0.500 x8
Zn 0.000 0.372 0.000 x4
Zn 0.136 0.000 0.000 x4
Au 0.000 0.000 0.500 x2
Au 0.000 0.500 0.500 x2

Output
The value obtained for the formation energy is -312 meV/atom. The total magnetization is 0.00 μB per formula unit. Its density of states at the Fermi level is 0.9976 states/eV/atom.


A geometry-optimized BaCdS2 structure, computed with PBE.

Cell: 7.404 7.404 8.459 Å, 90.00 90.00 90.00°
Space group I-42d (No. 122)
One atom of each set of equivalent atoms:
Ba 0.000 0.000 0.000 x4
Cd 0.000 0.000 0.500 x4
S 0.193 0.250 0.625 x8

Output
As for the raw total energy: -4.03 eV/atom. The total magnetization is 0.00 μB per formula unit. Its density of states at the Fermi level is 0.0000 states/eV/atom.


A geometry-optimized CeMg2InHg2 structure, computed with PBE.

Cell: 4.9813 4.9813 6.7735 Å, 90.00 90.00 120.00°
Space group P-3m1 (No. 164)
One atom of each set of equivalent atoms:
Ce 0.0000 0.0000 0.0000 x1
Mg 0.3333 0.6667 0.6934 x2
In 0.0000 0.0000 0.5000 x1
Hg 0.3333 0.6667 0.2169 x2

Output
The value obtained for the formation energy is -301 meV/atom. The total magnetization is 1.04 μB per formula unit. Its density of states at the Fermi level is 1.2995 states/eV/atom.


A geometry-optimized CaAlH2Pt structure, computed with PBE.

Cell: 3.933 3.933 5.005 Å, 90.00 90.00 90.00°
Space group P4/mmm (No. 123)
One atom of each set of equivalent atoms:
Ca 0.000 0.000 0.000 x1
Al 0.500 0.500 0.500 x1
H 0.000 0.500 0.500 x2
Pt 0.500 0.500 0.000 x1

Output
The calculation puts the energy above the most stable polymorph in this dataset at 0.0 meV per atom. The total magnetization is 0.00 μB per formula unit. Its density of states at the Fermi level is 0.2897 states/eV/atom.


A geometry-optimized NdMg2Sc structure, computed with PBE.

Cell: 3.3456 3.3456 33.1957 Å, 90.00 90.00 120.00°
Space group R-3m (No. 166, hexagonal axes)
One atom of each set of equivalent atoms:
Nd 0.0000 0.0000 0.0000 x3
Mg 0.0000 0.0000 0.2450 x6
Sc 0.0000 0.0000 0.5000 x3

Output
The value obtained for the formation energy is 46 meV/atom. The total magnetization is 0.00 μB per formula unit. Its density of states at the Fermi level is 1.1825 states/eV/atom.


A geometry-optimized Hf4Al structure, computed with PBE.

Cell: 4.973 4.973 4.973 Å, 90.00 90.00 90.00°
Space group Pm-3m (No. 221)
One atom of each set of equivalent atoms:
Hf 0.000 0.000 0.000 x1
Hf 0.000 0.500 0.500 x3
Al 0.500 0.500 0.500 x1

Output
The calculation puts the energy above the most stable polymorph in this dataset at 836.6 meV per atom. The value obtained for the formation energy is 794 meV/atom. The total magnetization is 1.18 μB per formula unit. Its density of states at the Fermi level is 2.1349 states/eV/atom.